DFT (PBE) results for BaBeAu2 after structural relaxation.

As for the crystal system: monoclinic. The value obtained for the density of states at the Fermi level is 2.3 states/eV per cell. Its uncorrected energy is -13.07 eV/cell.

It has space group P2/m (No. 10), with a = 4.1938 Å, b = 3.6805 Å, c = 6.5893 Å, α = 90.00°, β = 106.58° and γ = 90.00°. The distinct sites, in fractional coordinates, are Ba at (0.0000, 0.0000, 0.0000), Be at (0.5000, 0.0000, 0.5000) and Au at (0.3300, 0.5000, 0.6609).